Run A
CdAsC2 | Alexandria | PBE-GGA | relaxed; space-group type = Fm-3m, No. 225; V = 13.1 Å³/atom; spin magnetization = 0.00 μB per atom
1.0
-0.639 -0.301 4.141
-2.785 2.519 1.884
-3.610 -1.579 1.459
C Cd As
2 1 1
Cartesian
-5.276 0.478 5.613
-1.759 0.159 1.871
-3.517 0.319 3.742
0.000 0.000 0.000

***

Run B
CdAsC2 | Alexandria | PBE-GGA | relaxed; space-group type = I-42d, No. 122; V = 14.3 Å³/atom; spin magnetization = 0.09 μB per atom
1.0
-0.930 0.612 -4.943
-4.977 -0.330 0.896
-3.142 4.569 -1.440
C Cd As
4 2 2
Cartesian
-1.935 1.448 -3.053
-4.858 3.513 -2.546
-7.239 3.693 -4.673
-4.066 1.048 -0.703
-3.513 2.661 -4.204
0.000 0.000 0.000
-2.953 0.141 -2.024
-5.536 2.190 -1.284

***

Which structure is the most stable? The one labeled run B.

***

Run A
Cd2AsC | Alexandria | PBE-GGA | relaxed; space-group type = Fm-3m, No. 225; V = 18.1 Å³/atom; spin magnetization = 0.00 μB per atom
1.0
-4.203 0.440 2.002
-3.312 2.579 -2.060
-3.729 -2.076 -1.911
Cd As C
2 1 1
Cartesian
-8.433 0.707 -1.477
-2.811 0.236 -0.492
-5.622 0.472 -0.985
0.000 0.000 0.000

***

Run B
Cd2AsC | Alexandria | PBE-GGA | relaxed; space-group type = I-42d, No. 122; V = 22.0 Å³/atom; spin magnetization = 0.00 μB per atom
1.0
-4.141 3.828 2.173
-3.367 -4.676 1.820
-1.495 -0.395 6.250
Cd As C
4 2 2
Cartesian
-4.180 -0.953 6.316
-3.083 1.432 2.991
-7.447 -0.700 8.049
-3.295 -2.266 3.129
-4.695 1.504 5.209
0.000 0.000 0.000
-3.754 -0.424 1.996
-4.308 -2.748 5.033

***

Which structure is the most stable? The one labeled run B.

***

Run A
AsC2Cl | Alexandria | PBE-GGA | relaxed; space-group type = Fm-3m, No. 225; V = 12.7 Å³/atom; spin magnetization = 0.00 μB per atom
1.0
0.000 2.937 2.937
2.937 0.000 2.937
2.937 2.937 0.000
As C Cl
1 2 1
Cartesian
2.937 2.937 2.937
4.406 4.406 4.406
1.469 1.469 1.469
0.000 0.000 0.000

***

Run B
AsC2Cl | Alexandria | PBE-GGA | relaxed; space-group type = I-42d, No. 122; V = 14.5 Å³/atom; spin magnetization = 0.00 μB per atom
1.0
-0.340 3.428 -4.197
-4.558 -2.455 -1.637
-4.579 2.972 -0.714
C Cl As
4 2 2
Cartesian
-8.028 2.914 -5.750
-4.962 2.760 -2.612
-4.013 -0.595 -1.442
-1.950 2.811 -3.290
-2.449 0.487 -2.917
-5.793 0.502 -2.633
-3.684 3.444 -3.914
0.000 0.000 0.000

***

Which structure is the most stable? The one labeled run B.

***

Run A
AsC3Cl | Alexandria | PBE-GGA | relaxed; space-group type = Pm-3m, No. 221; V = 13.2 Å³/atom; spin magnetization = 0.45 μB per atom
1.0
4.040 0.000 0.000
0.000 4.040 0.000
0.000 0.000 4.040
C As Cl
3 1 1
Cartesian
2.020 0.000 0.000
0.000 2.020 0.000
0.000 0.000 2.020
0.000 0.000 0.000
2.020 2.020 2.020

***

Run B
AsC3Cl | Alexandria | PBE-GGA | relaxed; space-group type = Pm-3m, No. 221; V = 11.5 Å³/atom; spin magnetization = 0.00 μB per atom
1.0
3.858 0.000 0.000
0.000 3.858 0.000
0.000 0.000 3.858
C Cl As
3 1 1
Cartesian
0.000 0.000 1.929
0.000 1.929 0.000
1.929 0.000 0.000
0.000 0.000 0.000
1.929 1.929 1.929

***

Which structure is the most stable? The one labeled run A.

***

Run A
As3CCl | Alexandria | PBE-GGA | relaxed; space-group type = Pm-3m, No. 221; V = 18.1 Å³/atom; spin magnetization = 0.00 μB per atom
1.0
-4.403 -0.443 0.766
0.521 -4.439 0.432
0.715 0.513 4.404
As Cl C
3 1 1
Cartesian
0.261 -2.220 0.216
0.357 0.256 2.202
-2.201 -0.221 0.383
-1.583 -2.185 2.801
0.000 0.000 0.000

***

Run B
As3CCl | Alexandria | PBE-GGA | relaxed; space-group type = Pm-3m, No. 221; V = 22.7 Å³/atom; spin magnetization = 0.04 μB per atom
1.0
-2.174 1.315 4.120
3.174 -2.647 2.520
2.938 3.833 0.326
Cl As C
1 3 1
Cartesian
0.000 0.000 0.000
1.469 1.917 0.163
1.587 -1.323 1.260
-1.087 0.658 2.060
1.969 1.251 3.483

***

Which structure is the most stable? The one labeled run A.

***

Run A
AsCCl3 | Alexandria | PBE-GGA | relaxed; space-group type = Pm-3m, No. 221; V = 17.6 Å³/atom; spin magnetization = 0.00 μB per atom
1.0
-0.105 2.851 3.415
-1.998 -3.082 2.512
3.975 -1.474 1.353
As Cl C
1 3 1
Cartesian
0.936 -0.853 3.640
1.987 -0.737 0.677
-0.052 1.426 1.708
-0.999 -1.541 1.256
0.000 0.000 0.000

***

Run B
AsCCl3 | Alexandria | PBE-GGA | relaxed; space-group type = Pm-3m, No. 221; V = 24.8 Å³/atom; spin magnetization = 0.39 μB per atom
1.0
4.984 0.000 0.000
0.000 4.984 0.000
0.000 0.000 4.984
C As Cl
1 1 3
Cartesian
2.492 2.492 2.492
0.000 0.000 0.000
0.000 0.000 2.492
0.000 2.492 0.000
2.492 0.000 0.000

***

Which structure is the most stable? The one labeled run B.

***

Run A
CsAsCCl | Alexandria | PBE-GGA | relaxed; space-group type = Cm, No. 8; V = 28.7 Å³/atom; spin magnetization = 0.00 μB per atom
1.0
-4.031 0.609 -2.452
-1.752 -0.815 2.678
1.804 13.718 5.355
Cs As Cl C
2 2 2 2
Cartesian
-0.878 2.543 2.235
0.900 9.809 3.574
-1.110 13.609 5.451
-1.136 7.158 1.435
-2.084 4.968 0.148
-2.058 11.419 4.165
-2.391 7.650 2.800
-2.417 1.198 -1.217

***

Run B
CsAsCCl | Alexandria | PBE-GGA | relaxed; space-group type = Pm, No. 6; V = 33.8 Å³/atom; spin magnetization = 0.00 μB per atom
1.0
-1.741 -0.547 4.861
-0.685 -3.171 -0.602
8.105 -1.752 0.005
As Cs Cl C
1 1 1 1
Cartesian
1.446 -0.785 2.490
6.039 -1.541 1.243
3.633 -3.068 2.981
0.217 -2.123 1.891

***

Which structure is the most stable? The one labeled run A.

***

Run A
AsCSe2Cl | Alexandria | PBE-GGA | relaxed; space-group type = P4/mmm, No. 123; V = 25.1 Å³/atom; spin magnetization = 0.21 μB per atom
1.0
5.047 0.000 0.000
0.000 5.047 0.000
0.000 0.000 4.922
Se C Cl As
2 1 1 1
Cartesian
0.000 2.523 0.000
2.523 0.000 0.000
2.523 2.523 2.461
0.000 0.000 0.000
0.000 0.000 2.461

***

Run B
AsCSe2Cl | Alexandria | PBE-GGA | relaxed; space-group type = P4/mmm, No. 123; V = 18.3 Å³/atom; spin magnetization = 0.00 μB per atom
1.0
-0.536 1.096 -4.166
-4.263 -0.737 0.354
-0.693 4.633 1.308
Cl C Se As
1 1 2 1
Cartesian
-2.746 2.496 -1.252
0.000 0.000 0.000
-0.268 0.548 -2.083
-2.132 -0.369 0.177
-0.346 2.317 0.654

***

Which structure is the most stable? The one labeled run B.